Record 1
TeS2N | PBE | optimized geometry

Properties
E: -3.644 eV/atom
Offset from the most stable computed form: 743 meV/atom
N(E_F): 1.8 states/eV/cell
Formation energy (no corrections): 1.286 eV per atom
Theoretical density: 4.54 Mg/m³

Cell: 7.965 7.965 7.965 Å, 24.29 24.29 24.29°
Atoms (fractional coordinates):
Te 0.000 0.000 0.000
S 0.114 0.114 0.114
S 0.886 0.886 0.886
N 0.500 0.500 0.500



Record 2
TeS2N | PBE | optimized geometry

Properties
E: -3.382 eV/atom
Offset from the most stable computed form: 1005 meV/atom
N(E_F): 2.1 states/eV/cell
Formation energy (no corrections): 1.549 eV per atom
Theoretical density: 5.08 Mg/m³

Cell: 4.566 4.566 4.566 Å, 60.00 60.00 60.00°
Each line ends with the local moment (μB).
Atoms (fractional coordinates):
Te 0.500 0.500 0.500  0.04
S 0.250 0.250 0.250  0.04
S 0.750 0.750 0.750  0.04
N 0.000 0.000 0.000  1.28



Record 3
TeSN3 | PBE | optimized geometry

Properties
E: -4.207 eV/atom
N(E_F): 2.2 states/eV/cell
Formation energy (no corrections): 2.242 eV per atom
Theoretical density: 5.37 Mg/m³

Cell: 3.966 3.966 3.966 Å, 90.00 90.00 90.00°
Atoms (fractional coordinates):
S 0.500 0.500 0.500
N 0.000 0.500 0.000
N 0.500 0.000 0.000
N 0.000 0.000 0.500
Te 0.000 0.000 0.000